Record 1
# Cu5NiPt2, optimized geometry, DFT GGA-PBE
data_Cu5NiPt2
_chemical_formula_sum 'Cu10 Ni2 Pt4'
_space_group_name_H-M_alt 'P 1'
_space_group_IT_number 1
_cell_length_a 5.2739
_cell_length_b 10.5486
_cell_length_c 3.6779
_cell_angle_alpha 90.00
_cell_angle_beta 90.00
_cell_angle_gamma 90.00
loop_
_space_group_symop_operation_xyz
'x,y,z'
loop_
_atom_site_label
_atom_site_type_symbol
_atom_site_fract_x
_atom_site_fract_y
_atom_site_fract_z
Cu1 Cu 0.0000 0.0000 0.0000
Cu2 Cu 0.0018 0.2511 0.0000
Cu3 Cu 0.2482 0.8750 0.5000
Cu4 Cu 0.2518 0.3750 0.5000
Cu5 Cu 0.4982 0.7511 0.0000
Cu6 Cu 0.5000 0.5000 0.0000
Cu7 Cu 0.5018 0.2489 0.0000
Cu8 Cu 0.7482 0.6250 0.5000
Cu9 Cu 0.7518 0.1250 0.5000
Cu10 Cu 0.9982 0.7489 0.0000
Ni1 Ni 0.0000 0.5000 0.0000
Ni2 Ni 0.5000 0.0000 0.0000
Pt1 Pt 0.2465 0.6236 0.5000
Pt2 Pt 0.2535 0.1236 0.5000
Pt3 Pt 0.7465 0.8764 0.5000
Pt4 Pt 0.7535 0.3764 0.5000
# - space group = Pbam, No. 55
# - E (Ha/atom) = -0.181
# - V (Å³/atom) = 12.79

***

Record 2
# Cu4NiPt, optimized geometry, DFT GGA-PBE
data_Cu4NiPt
_chemical_formula_sum 'Cu8 Ni2 Pt2'
_space_group_name_H-M_alt 'P 1'
_space_group_IT_number 1
_cell_length_a 5.1815
_cell_length_b 5.2098
_cell_length_c 6.5585
_cell_angle_alpha 90.00
_cell_angle_beta 90.00
_cell_angle_gamma 90.00
loop_
_space_group_symop_operation_xyz
'x,y,z'
loop_
_atom_site_label
_atom_site_type_symbol
_atom_site_fract_x
_atom_site_fract_y
_atom_site_fract_z
Cu1 Cu 0.2500 0.2500 0.2319
Cu2 Cu 0.2500 0.2500 0.7681
Cu3 Cu 0.2500 0.7500 0.2319
Cu4 Cu 0.2500 0.7500 0.7681
Cu5 Cu 0.7500 0.2500 0.2319
Cu6 Cu 0.7500 0.2500 0.7681
Cu7 Cu 0.7500 0.7500 0.2319
Cu8 Cu 0.7500 0.7500 0.7681
Ni1 Ni 0.0000 0.0000 0.0000
Ni2 Ni 0.5000 0.5000 0.0000
Pt1 Pt 0.0000 0.5000 0.5000
Pt2 Pt 0.5000 0.0000 0.5000
# - energy above the most stable polymorph in this dataset (kJ/mol of formula units) = 164.7
# - space group = Cmmm, No. 65
# - E (Ha/atom) = -0.160
# - V (Å³/atom) = 14.75

***

Record 3
# Cu3NiPt12, optimized geometry, DFT GGA-PBE
data_Cu3NiPt12
_chemical_formula_sum 'Cu3 Ni1 Pt12'
_space_group_name_H-M_alt 'P 1'
_space_group_IT_number 1
_cell_length_a 3.8843
_cell_length_b 3.8843
_cell_length_c 15.6819
_cell_angle_alpha 90.00
_cell_angle_beta 90.00
_cell_angle_gamma 90.00
loop_
_space_group_symop_operation_xyz
'x,y,z'
loop_
_atom_site_label
_atom_site_type_symbol
_atom_site_fract_x
_atom_site_fract_y
_atom_site_fract_z
Cu1 Cu 0.0000 0.0000 0.0000
Cu2 Cu 0.0000 0.0000 0.2504
Cu3 Cu 0.0000 0.0000 0.7496
Ni1 Ni 0.0000 0.0000 0.5000
Pt1 Pt 0.0000 0.5000 0.1254
Pt2 Pt 0.0000 0.5000 0.3761
Pt3 Pt 0.0000 0.5000 0.6239
Pt4 Pt 0.0000 0.5000 0.8746
Pt5 Pt 0.5000 0.0000 0.1254
Pt6 Pt 0.5000 0.0000 0.3761
Pt7 Pt 0.5000 0.0000 0.6239
Pt8 Pt 0.5000 0.0000 0.8746
Pt9 Pt 0.5000 0.5000 0.0000
Pt10 Pt 0.5000 0.5000 0.2506
Pt11 Pt 0.5000 0.5000 0.5000
Pt12 Pt 0.5000 0.5000 0.7494
# - space group = P4/mmm, No. 123
# - E (Ha/atom) = -0.212
# - V (Å³/atom) = 14.79

***

Record 4
# Cu12Ni6Pt, optimized geometry, DFT GGA-PBE
data_Cu12Ni6Pt
_chemical_formula_sum 'Cu12 Ni6 Pt1'
_space_group_name_H-M_alt 'P 1'
_space_group_IT_number 1
_cell_length_a 6.3215
_cell_length_b 6.3215
_cell_length_c 6.3215
_cell_angle_alpha 102.13
_cell_angle_beta 102.13
_cell_angle_gamma 102.13
loop_
_space_group_symop_operation_xyz
'x,y,z'
loop_
_atom_site_label
_atom_site_type_symbol
_atom_site_fract_x
_atom_site_fract_y
_atom_site_fract_z
Cu1 Cu 0.0004 0.2644 0.7354
Cu2 Cu 0.9996 0.7356 0.2646
Cu3 Cu 0.1885 0.5863 0.5869
Cu4 Cu 0.2644 0.7354 0.0004
Cu5 Cu 0.2646 0.9996 0.7356
Cu6 Cu 0.4131 0.8115 0.4137
Cu7 Cu 0.4137 0.4131 0.8115
Cu8 Cu 0.5863 0.5869 0.1885
Cu9 Cu 0.5869 0.1885 0.5863
Cu10 Cu 0.7354 0.0004 0.2644
Cu11 Cu 0.7356 0.2646 0.9996
Cu12 Cu 0.8115 0.4137 0.4131
Ni1 Ni 0.1682 0.4208 0.1696
Ni2 Ni 0.1696 0.1682 0.4208
Ni3 Ni 0.4208 0.1696 0.1682
Ni4 Ni 0.5792 0.8304 0.8318
Ni5 Ni 0.8304 0.8318 0.5792
Ni6 Ni 0.8318 0.5792 0.8304
Pt1 Pt 0.0000 0.0000 0.0000
# - space group = R-3, No. 148
# - E (Ha/atom) = -0.170
# - V (Å³/atom) = 12.25

***

Record 5
# CuNi6Pt, optimized geometry, DFT GGA-PBE
data_CuNi6Pt
_chemical_formula_sum 'Cu1 Ni6 Pt1'
_space_group_name_H-M_alt 'P 1'
_space_group_IT_number 1
_cell_length_a 6.8216
_cell_length_b 6.8216
_cell_length_c 6.8216
_cell_angle_alpha 40.56
_cell_angle_beta 40.56
_cell_angle_gamma 40.56
loop_
_space_group_symop_operation_xyz
'x,y,z'
loop_
_atom_site_label
_atom_site_type_symbol
_atom_site_fract_x
_atom_site_fract_y
_atom_site_fract_z
Cu1 Cu 0.0000 0.0000 0.0000
Ni1 Ni 0.0535 0.5652 0.5652
Ni2 Ni 0.4348 0.4348 0.9465
Ni3 Ni 0.4348 0.9465 0.4348
Ni4 Ni 0.5652 0.0535 0.5652
Ni5 Ni 0.5652 0.5652 0.0535
Ni6 Ni 0.9465 0.4348 0.4348
Pt1 Pt 0.5000 0.5000 0.5000
# - energy above the most stable polymorph in this dataset (kJ/mol of formula units) = 430.3
# - space group = R-3m, No. 166
# - E (Ha/atom) = -0.186
# - V (Å³/atom) = 15.13

***

Record 6
# Cu12NiPt3, optimized geometry, DFT GGA-PBE
data_Cu12NiPt3
_chemical_formula_sum 'Cu12 Ni1 Pt3'
_space_group_name_H-M_alt 'P 1'
_space_group_IT_number 1
_cell_length_a 3.7032
_cell_length_b 3.7032
_cell_length_c 14.7011
_cell_angle_alpha 90.00
_cell_angle_beta 90.00
_cell_angle_gamma 90.00
loop_
_space_group_symop_operation_xyz
'x,y,z'
loop_
_atom_site_label
_atom_site_type_symbol
_atom_site_fract_x
_atom_site_fract_y
_atom_site_fract_z
Cu1 Cu 0.0000 0.0000 0.0000
Cu2 Cu 0.0000 0.0000 0.2444
Cu3 Cu 0.0000 0.0000 0.5000
Cu4 Cu 0.0000 0.0000 0.7556
Cu5 Cu 0.0000 0.5000 0.1170
Cu6 Cu 0.0000 0.5000 0.3723
Cu7 Cu 0.0000 0.5000 0.6277
Cu8 Cu 0.0000 0.5000 0.8830
Cu9 Cu 0.5000 0.0000 0.1170
Cu10 Cu 0.5000 0.0000 0.3723
Cu11 Cu 0.5000 0.0000 0.6277
Cu12 Cu 0.5000 0.0000 0.8830
Ni1 Ni 0.5000 0.5000 0.0000
Pt1 Pt 0.5000 0.5000 0.2445
Pt2 Pt 0.5000 0.5000 0.5000
Pt3 Pt 0.5000 0.5000 0.7555
# - space group = P4/mmm, No. 123
# - E (Ha/atom) = -0.172
# - V (Å³/atom) = 12.60